No. 1
Compound: Ac8Si3RuBr4
Source: the Alexandria database
Functional: PBE-GGA
Structure: relaxed

Calculated values
Energy relative to the elements, uncorrected   -0.981 eV/atom

Cell lengths 9.0528, 9.3664, 9.0561 Å; angles 118.94, 119.99, 90.00 degrees
Fractional coordinates of all 16 atoms:
Ac 0.7489 0.7044 0.9767
Ac 0.2278 0.7044 0.9767
Ac 0.2612 0.2840 0.5225
Ac 0.2511 0.2956 0.0233
Ac 0.7716 0.2951 0.5432
Ac 0.2284 0.7049 0.4568
Ac 0.7722 0.2956 0.0233
Ac 0.7388 0.7160 0.4775
Br 0.0000 0.0000 0.5000
Br 0.5000 0.0000 0.0000
Br 0.5000 0.0000 0.5000
Br 0.0000 0.0000 0.0000
Ru 0.0000 0.5000 0.0000
Si 0.0000 0.5000 0.5000
Si 0.5000 0.5000 0.0000
Si 0.5000 0.5000 0.5000

---

No. 2
Compound: K3Tl2Hg9
Source: the Alexandria database
Functional: PBE-GGA
Structure: relaxed

Calculated values
Energy of formation   -0.20 eV per atom

Cell lengths 5.4088, 9.7937, 9.7937 Å; angles 63.74, 73.97, 73.97 degrees
Fractional coordinates of all 14 atoms:
K 0.2868 0.7132 0.7132
K 0.7132 0.2868 0.2868
K 0.0000 0.0000 0.0000
Hg 0.1430 0.1500 0.5639
Hg 0.6636 0.6912 0.9816
Hg 0.3364 0.0184 0.3088
Hg 0.1430 0.5639 0.1500
Hg 0.6636 0.9816 0.6912
Hg 0.0000 0.5000 0.5000
Hg 0.3364 0.3088 0.0184
Hg 0.8570 0.4361 0.8500
Hg 0.8570 0.8500 0.4361
Tl 0.5000 0.3234 0.6766
Tl 0.5000 0.6766 0.3234

---

V across the listed records, respectively: 551.59, 439.97 Å³/cell.
Uncorrected energy across the listed records, respectively: -5.05, -0.96 eV/atom.